## Pr3Ho2In6 (GGA-PBE)

Data for Pr3Ho2In6 after structural relaxation.

Formation enthalpy at 0 K, meV per atom: -225
Calculated volume, Å³ per atom: 30.3

Geometry as POSCAR:
```
Pr3Ho2In6
1.0
-0.202 -4.115 -2.434
4.725 0.200 -0.731
-0.043 -5.440 13.901
Ho In Pr
2 6 3
Cartesian
2.500 -2.753 -0.257 Ho
1.979 -6.601 10.993 Ho
0.421 -3.799 1.683 In
2.885 -1.641 2.535 In
1.595 -7.713 8.201 In
3.095 -4.737 3.046 In
1.385 -4.618 7.690 In
4.058 -5.556 9.053 In
3.586 -6.376 5.777 Pr
0.000 0.000 0.000 Pr
0.893 -2.978 4.960 Pr
```